P3CI (PBE, relaxed); M_tot = 0.17 μB/atom; space group = Pm-3m, No. 221; energy above the lowest structure with this stoichiometry = 1545 meV/atom; density of states at the Fermi level = 5.19 states/eV per cell; formation energy (no corrections) = 14.9 eV per formula unit; theoretical density = 2.77 g/cm3
1.0
-5.050 0.652 -0.938
0.723 -1.468 -4.912
-0.884 -4.922 1.341
I P C
1 3 1
Direct
0.000 0.000 0.000
0.000 0.500 0.000
0.000 0.000 0.500
0.500 0.000 0.000
0.500 0.500 0.500